No. 1
The following is a PBE calculation of In3Sb after structural relaxation, from the Alexandria database.

a b c (Å): 3.364 5.026 6.739
angles (deg): 90.00 104.36 90.00
Space group P2/m (No. 10)
Unique sites:
In (0.000, 0.000, 0.000)
In (0.296, 0.500, 0.749)
Sb (0.500, 0.000, 0.500)

Computed properties:
**Uncorrected energy**: -3.045 eV/atom

***

No. 2
The following is a PBE calculation of InSb after structural relaxation, from the Alexandria database.

a b c (Å): 11.852 11.852 3.271
angles (deg): 90.00 90.00 90.00
Space group I4/m (No. 87)
Unique sites:
In (0.113, 0.374, 0.000)
Sb (0.125, 0.130, 0.500)

Computed properties:
**Uncorrected energy**: -3.389 eV/atom

***

No. 3
The following is a PBE calculation of InSb2 after structural relaxation, from the Alexandria database.

a b c (Å): 3.115 9.283 3.115
angles (deg): 90.00 90.00 90.00
Space group Pmm2 (No. 25)
Unique sites:
In (0.000, 0.000, 0.000)
Sb (0.000, 0.340, 0.935)

Computed properties:
**Uncorrected energy**: -3.593 eV/atom